VASP calculation (PBE) on an optimized crystal structure of La2Pd3Au2.

Formation energy (meV per atom): -645
Raw total energy (eV/atom): -5.21
Total magnetic moment (μB/f.u.): 0.0
Offset from the most stable computed form (meV/atom): 10.2

a b c (Å): 8.615 8.615 8.615
angles (deg): 90.00 90.00 90.00
Space group I2_13 (No. 199)
Symmetry-distinct sites (fractional):
La 0.004 0.496 0.504
Pd 0.000 0.250 0.226
Au 0.196 0.304 0.696



VASP calculation (PBE) on an optimized crystal structure of LaPd3Au2.

Formation energy (meV per atom): -523
Raw total energy (eV/atom): -5.03
Total magnetic moment (μB/f.u.): 0.0
Offset from the most stable computed form (meV/atom): 86.3

a b c (Å): 5.9082 5.9082 22.2813
angles (deg): 90.00 90.00 120.00
Space group R-3m (No. 166, hexagonal axes)
Symmetry-distinct sites (fractional):
La 0.0000 0.0000 0.2147
Pd 0.0110 0.5055 0.2249
Au 0.0000 0.0000 0.0000
Au 0.0000 0.5000 0.0000



VASP calculation (PBE) on an optimized crystal structure of La2Pd6Au.

Formation energy (meV per atom): -586
Raw total energy (eV/atom): -5.51
Total magnetic moment (μB/f.u.): 0.0
Offset from the most stable computed form (meV/atom): 89.4

a b c (Å): 5.049 5.331 7.500
angles (deg): 75.84 83.70 63.82
Space group P-1 (No. 2)
Symmetry-distinct sites (fractional):
La 0.024 0.373 0.288
Pd 0.208 0.094 0.983
Pd 0.318 0.956 0.643
Pd 0.363 0.705 0.339
Au 0.500 0.500 0.000



VASP calculation (PBE) on an optimized crystal structure of LaPd4Au.

Formation energy (meV per atom): -584
Raw total energy (eV/atom): -5.41
Total magnetic moment (μB/f.u.): 0.0
Offset from the most stable computed form (meV/atom): 0.0

a b c (Å): 7.663 7.663 7.663
angles (deg): 90.00 90.00 90.00
Space group F-43m (No. 216)
Symmetry-distinct sites (fractional):
La 0.000 0.000 0.000
Pd 0.125 0.125 0.625
Au 0.250 0.250 0.250



VASP calculation (PBE) on an optimized crystal structure of LaPd2Au2.

Formation energy (meV per atom): -545
Raw total energy (eV/atom): -4.92
Total magnetic moment (μB/f.u.): 0.0
Offset from the most stable computed form (meV/atom): 45.2

a b c (Å): 4.055 4.055 12.882
angles (deg): 90.00 90.00 90.00
Space group I4/mmm (No. 139)
Symmetry-distinct sites (fractional):
La 0.000 0.000 0.000
Pd 0.000 0.000 0.399
Au 0.000 0.500 0.250



VASP calculation (PBE) on an optimized crystal structure of LaPd4Au2.

Formation energy (meV per atom): -519
Raw total energy (eV/atom): -5.13
Total magnetic moment (μB/f.u.): 0.0
Offset from the most stable computed form (meV/atom): 0.0

a b c (Å): 8.820 6.867 5.548
angles (deg): 90.00 128.65 90.00
Space group C2/m (No. 12)
Symmetry-distinct sites (fractional):
La 0.000 0.000 0.000
Pd 0.200 0.201 0.700
Au 0.000 0.500 0.250



VASP calculation (PBE) on an optimized crystal structure of La3PdAu3.

Formation energy (meV per atom): -826
Raw total energy (eV/atom): -5.08
Total magnetic moment (μB/f.u.): 0.0

a b c (Å): 3.976 4.623 20.171
angles (deg): 90.00 90.00 90.00
Space group Imm2 (No. 44)
Symmetry-distinct sites (fractional):
La 0.000 0.000 0.000
La 0.000 0.000 0.362
La 0.000 0.500 0.187
Pd 0.000 0.500 0.752
Au 0.000 0.000 0.528
Au 0.000 0.000 0.836
Au 0.000 0.500 0.619



VASP calculation (PBE) on an optimized crystal structure of La6PdAu5.

Formation energy (meV per atom): -773
Raw total energy (eV/atom): -5.04
Total magnetic moment (μB/f.u.): 0.0

a b c (Å): 16.846 7.501 5.336
angles (deg): 90.00 108.41 90.00
Space group C2/m (No. 12)
Symmetry-distinct sites (fractional):
La 0.000 0.245 0.000
La 0.164 0.247 0.664
Pd 0.000 0.000 0.500
Au 0.000 0.500 0.500
Au 0.166 0.500 0.166
Au 0.172 0.000 0.172



VASP calculation (PBE) on an optimized crystal structure of La2Pd2Au.

Formation energy (meV per atom): -686
Raw total energy (eV/atom): -5.39
Total magnetic moment (μB/f.u.): 0.0
Offset from the most stable computed form (meV/atom): 164.1

a b c (Å): 3.964 3.964 15.902
angles (deg): 90.00 90.00 90.00
Space group I4/mmm (No. 139)
Symmetry-distinct sites (fractional):
La 0.000 0.000 0.111
Pd 0.000 0.500 0.250
Au 0.000 0.000 0.500



VASP calculation (PBE) on an optimized crystal structure of LaPmPdAu.

Formation energy (meV per atom): -753
Raw total energy (eV/atom): -5.29
Total magnetic moment (μB/f.u.): 0.0
Offset from the most stable computed form (meV/atom): 67.2

a b c (Å): 7.388 7.388 7.388
angles (deg): 90.00 90.00 90.00
Space group F-43m (No. 216)
Symmetry-distinct sites (fractional):
La 0.000 0.000 0.000
Pm 0.000 0.000 0.500
Pd 0.250 0.250 0.750
Au 0.250 0.250 0.250



VASP calculation (PBE) on an optimized crystal structure of LaPmPdAu.

Formation energy (meV per atom): -820
Raw total energy (eV/atom): -5.36
Total magnetic moment (μB/f.u.): 0.0
Offset from the most stable computed form (meV/atom): 0.0

a b c (Å): 4.821 3.935 10.988
angles (deg): 90.00 90.00 90.00
Space group Amm2 (No. 38)
Symmetry-distinct sites (fractional):
La 0.000 0.000 0.000
Pm 0.500 0.000 0.726
Pd 0.000 0.000 0.275
Au 0.500 0.000 0.446



VASP calculation (PBE) on an optimized crystal structure of LaPrPdAu.

Formation energy (meV per atom): -805
Raw total energy (eV/atom): -5.35
Total magnetic moment (μB/f.u.): 0.0
Offset from the most stable computed form (meV/atom): 0.0

a b c (Å): 4.738 3.963 11.309
angles (deg): 90.00 90.00 90.00
Space group Amm2 (No. 38)
Symmetry-distinct sites (fractional):
La 0.000 0.000 0.000
Pr 0.500 0.000 0.727
Pd 0.500 0.000 0.451
Au 0.000 0.000 0.279



VASP calculation (PBE) on an optimized crystal structure of LaPrPdAu.

Formation energy (meV per atom): -733
Raw total energy (eV/atom): -5.28
Total magnetic moment (μB/f.u.): 0.0
Offset from the most stable computed form (meV/atom): 72.0

a b c (Å): 7.435 7.435 7.435
angles (deg): 90.00 90.00 90.00
Space group F-43m (No. 216)
Symmetry-distinct sites (fractional):
La 0.000 0.000 0.000
Pr 0.000 0.000 0.500
Pd 0.250 0.250 0.750
Au 0.250 0.250 0.250



VASP calculation (PBE) on an optimized crystal structure of La2PdPtAu.

Formation energy (meV per atom): -897
Raw total energy (eV/atom): -5.77
Total magnetic moment (μB/f.u.): 0.0

a b c (Å): 7.448 4.553 7.541
angles (deg): 90.00 107.56 90.00
Space group P2_1/m (No. 11)
Symmetry-distinct sites (fractional):
La 0.155 0.250 0.358
La 0.297 0.250 0.943
Pd 0.460 0.750 0.352
Pt 0.115 0.750 0.078
Au 0.306 0.750 0.664



VASP calculation (PBE) on an optimized crystal structure of La2Pd2Pt5Au.

Formation energy (meV per atom): -720
Raw total energy (eV/atom): -6.09
Total magnetic moment (μB/f.u.): 0.0

a b c (Å): 9.484 9.484 4.265
angles (deg): 90.00 90.00 90.00
Space group P4/mbm (No. 127)
Symmetry-distinct sites (fractional):
La 0.178 0.322 0.000
Pd 0.122 0.622 0.000
Pt 0.000 0.500 0.500
Pt 0.058 0.795 0.500
Au 0.000 0.000 0.000



VASP calculation (PBE) on an optimized crystal structure of LaPuPd2Au2.

Formation energy (meV per atom): -627
Raw total energy (eV/atom): -6.66
Total magnetic moment (μB/f.u.): 5.6

a b c (Å): 4.7028 4.7028 7.0267
angles (deg): 90.00 90.00 120.00
Space group P-3m1 (No. 164)
Symmetry-distinct sites (fractional):
La 0.0000 0.0000 0.0000
Pu 0.0000 0.0000 0.5000
Pd 0.3333 0.6667 0.7172
Au 0.3333 0.6667 0.2600



VASP calculation (PBE) on an optimized crystal structure of LaPuPdAu.

Formation energy (meV per atom): -595
Raw total energy (eV/atom): -7.53
Total magnetic moment (μB/f.u.): 5.9
Offset from the most stable computed form (meV/atom): 0.0

a b c (Å): 4.664 3.981 11.020
angles (deg): 90.00 90.00 90.00
Space group Amm2 (No. 38)
Symmetry-distinct sites (fractional):
La 0.000 0.000 0.000
Pu 0.500 0.000 0.279
Pd 0.000 0.000 0.730
Au 0.500 0.000 0.561



VASP calculation (PBE) on an optimized crystal structure of LaPuPdAu.

Formation energy (meV per atom): -557
Raw total energy (eV/atom): -7.49
Total magnetic moment (μB/f.u.): 6.0
Offset from the most stable computed form (meV/atom): 37.5

a b c (Å): 7.325 7.325 7.325
angles (deg): 90.00 90.00 90.00
Space group F-43m (No. 216)
Symmetry-distinct sites (fractional):
La 0.000 0.000 0.000
Pu 0.000 0.000 0.500
Pd 0.250 0.250 0.250
Au 0.250 0.250 0.750



VASP calculation (PBE) on an optimized crystal structure of LaPd2RhAu.

Formation energy (meV per atom): 239
Raw total energy (eV/atom): -4.95
Total magnetic moment (μB/f.u.): 0.0

a b c (Å): 4.949 4.949 4.952
angles (deg): 90.00 90.00 90.00
Space group P4/mmm (No. 123)
Symmetry-distinct sites (fractional):
La 0.000 0.000 0.000
Pd 0.000 0.500 0.500
Rh 0.500 0.500 0.000
Au 0.500 0.500 0.500



VASP calculation (PBE) on an optimized crystal structure of La2Sb4PdAu3.

Raw total energy (eV/atom): -4.76
Formation energy from raw total energies (eV/atom): -0.63
Total magnetic moment (μB/f.u.): 0.0

a b c (Å): 4.729 4.729 11.264
angles (deg): 90.00 90.00 90.00
Space group P-4m2 (No. 115)
Symmetry-distinct sites (fractional):
La 0.000 0.500 0.230
Sb 0.000 0.000 0.500
Sb 0.000 0.500 0.875
Sb 0.500 0.500 0.500
Pd 0.500 0.500 0.000
Au 0.000 0.000 0.000
Au 0.000 0.500 0.641



VASP calculation (PBE) on an optimized crystal structure of LaSb2Pd5Au.

Raw total energy (eV/atom): -5.07
Formation energy from raw total energies (eV/atom): -0.35
Total magnetic moment (μB/f.u.): 0.0

a b c (Å): 4.824 4.824 8.231
angles (deg): 90.00 90.00 90.00
Space group P4/mmm (No. 123)
Symmetry-distinct sites (fractional):
La 0.000 0.000 0.000
Sb 0.500 0.500 0.332
Pd 0.000 0.500 0.218
Pd 0.500 0.500 0.000
Au 0.000 0.000 0.500



VASP calculation (PBE) on an optimized crystal structure of La2Sb4Pd3Au.

Raw total energy (eV/atom): -5.33
Formation energy from raw total energies (eV/atom): -0.81
Total magnetic moment (μB/f.u.): 0.0

a b c (Å): 4.707 4.707 10.717
angles (deg): 90.00 90.00 90.00
Space group P-4m2 (No. 115)
Symmetry-distinct sites (fractional):
La 0.000 0.500 0.244
Sb 0.000 0.000 0.500
Sb 0.000 0.500 0.866
Sb 0.500 0.500 0.500
Pd 0.000 0.000 0.000
Pd 0.000 0.500 0.623
Au 0.500 0.500 0.000



VASP calculation (PBE) on an optimized crystal structure of LaSbPdAu.

Raw total energy (eV/atom): -5.11
Formation energy from raw total energies (eV/atom): -0.73
Total magnetic moment (μB/f.u.): 0.0

a b c (Å): 7.155 7.155 7.155
angles (deg): 90.00 90.00 90.00
Space group F-43m (No. 216)
Symmetry-distinct sites (fractional):
La 0.000 0.000 0.000
Sb 0.000 0.000 0.500
Pd 0.250 0.250 0.250
Au 0.250 0.250 0.750



VASP calculation (PBE) on an optimized crystal structure of La2Si4PdAu3.

Raw total energy (eV/atom): -5.35
Formation energy from raw total energies (eV/atom): -0.69
Total magnetic moment (μB/f.u.): 0.0

a b c (Å): 4.386 4.386 10.202
angles (deg): 90.00 90.00 90.00
Space group P-4m2 (No. 115)
Symmetry-distinct sites (fractional):
La 0.000 0.500 0.250
Si 0.000 0.000 0.000
Si 0.000 0.500 0.628
Si 0.500 0.500 0.000
Pd 0.000 0.000 0.500
Au 0.000 0.500 0.874
Au 0.500 0.500 0.500



VASP calculation (PBE) on an optimized crystal structure of La2Sn4PdAu3.

Formation energy (meV per atom): -664
Raw total energy (eV/atom): -4.75
Total magnetic moment (μB/f.u.): 0.0

a b c (Å): 4.643 4.643 11.389
angles (deg): 90.00 90.00 90.00
Space group P-4m2 (No. 115)
Symmetry-distinct sites (fractional):
La 0.000 0.500 0.233
Sn 0.000 0.000 0.500
Sn 0.000 0.500 0.875
Sn 0.500 0.500 0.500
Pd 0.500 0.500 0.000
Au 0.000 0.000 0.000
Au 0.000 0.500 0.641